# 1
Crystalline ZnCdN2F at its relaxed geometry. Source: Alexandria via LeMat-Bulk, functional PBE.

```
ZnCdN2F
1.0
-3.2756 0.2621 2.2198
-1.8287 -2.5788 -2.3940
1.3407 -3.1305 2.3481
N Zn Cd F
2 1 1 1
Direct
0.5000 0.0000 0.0000
0.0000 0.5000 0.0000
0.0000 0.0000 0.0000
0.5000 0.5000 0.5000
0.0000 0.0000 0.5000
```

formation energy without anion corrections = 0.611 eV/atom
DOS(E_F) = 2.9 states/eV/cell
space group = No. 123
electronic total energy = -3.53 eV per atom

=====

# 2
Crystalline TbNd3Ho6Er2 at its relaxed geometry. Source: Alexandria via LeMat-Bulk, functional PBE.

```
TbNd3Ho6Er2
1.0
6.1753 0.0006 -0.0008
-3.0856 5.3492 -0.0008
-1.0250 -1.7748 11.5986
Tb Er Ho Nd
1 2 6 3
Direct
0.0000 0.0000 0.0000
0.6667 0.3333 0.0000
0.3333 0.6667 0.0000
0.5842 0.9178 0.7541
0.0822 0.4158 0.2459
0.7486 0.7486 0.2459
0.9178 0.5842 0.7541
0.2514 0.2514 0.7541
0.4158 0.0822 0.2459
0.5000 0.5000 0.5000
0.1668 0.8332 0.5000
0.8332 0.1668 0.5000
```

energy relative to the elements = 0.0195 eV/atom
DOS(E_F) = 15.7 states/eV/cell
space group = No. 12
electronic total energy = -4.61 eV per atom

=====

# 3
Crystalline PuNpMnGa at its relaxed geometry. Source: Alexandria via LeMat-Bulk, functional PBE.

```
PuNpMnGa
1.0
-1.6395 -4.2924 -1.1209
2.9152 -3.2390 -1.8385
1.2746 -3.7627 2.5664
Mn Ga Np Pu
1 1 1 1
Direct
0.0000 0.0000 0.0000
0.2500 0.2500 0.2500
0.7500 0.7500 0.7500
0.5000 0.5000 0.5000
```

energy relative to the elements = -0.0077 eV/atom
DOS(E_F) = 8.6 states/eV/cell
space group = No. 216
electronic total energy = -9.87 eV per atom

=====

# 4
Crystalline Pm3Tm7 at its relaxed geometry. Source: Alexandria via LeMat-Bulk, functional PBE.

```
Pm3Tm7
1.0
5.3565 0.0000 -1.5078
-0.0383 6.9723 -0.1359
-0.4970 1.9145 8.5029
Tm Pm
7 3
Direct
0.4009 0.2993 0.8017
0.0000 0.5000 0.0000
0.7874 0.8574 0.5748
0.2126 0.1426 0.4252
0.5980 0.2016 0.1959
0.5991 0.7007 0.1983
0.4020 0.7984 0.8041
0.7874 0.3546 0.5748
0.0000 0.0000 0.0000
0.2126 0.6454 0.4252
```

energy relative to the elements = 0.0543 eV/atom
DOS(E_F) = 15.9 states/eV/cell
space group = No. 12
electronic total energy = -4.50 eV per atom